1.
Compound: AcAg2Au
Source: Alexandria
Functional: PBE-GGA
Structure: relaxed

The structure in CIF format:
```
data_AcAg2Au
_chemical_formula_sum 'Ac1 Ag2 Au1'
_cell_length_a 5.069
_cell_length_b 4.473
_cell_length_c 4.473
_cell_angle_alpha 90.00
_cell_angle_beta 90.00
_cell_angle_gamma 90.00
_symmetry_space_group_name_H-M 'P 1'
_symmetry_Int_Tables_number 1
loop_
_symmetry_equiv_pos_as_xyz
'x,y,z'
loop_
_atom_site_label
_atom_site_type_symbol
_atom_site_fract_x
_atom_site_fract_y
_atom_site_fract_z
_atom_site_occupancy
Ac1 Ac 0.500 0.500 0.500 1
Au1 Au 0.500 0.000 0.000 1
Ag1 Ag 0.000 0.000 0.500 1
Ag2 Ag 0.000 0.500 0.000 1
```

Values from the calculation:
E_form: -0.209 eV/atom
space-group type: P4/mmm
crystal system: tetragonal

2.
Compound: PrNd2Si
Source: Alexandria
Functional: PBE-GGA
Structure: relaxed

The structure in CIF format:
```
data_PrNd2Si
_chemical_formula_sum 'Pr4 Nd8 Si4'
_cell_length_a 6.464
_cell_length_b 7.979
_cell_length_c 9.403
_cell_angle_alpha 90.00
_cell_angle_beta 90.00
_cell_angle_gamma 90.00
_symmetry_space_group_name_H-M 'P 1'
_symmetry_Int_Tables_number 1
loop_
_symmetry_equiv_pos_as_xyz
'x,y,z'
loop_
_atom_site_label
_atom_site_type_symbol
_atom_site_fract_x
_atom_site_fract_y
_atom_site_fract_z
_atom_site_occupancy
Pr1 Pr 0.629 0.530 0.250 1
Pr2 Pr 0.871 0.030 0.250 1
Pr3 Pr 0.371 0.470 0.750 1
Pr4 Pr 0.129 0.970 0.750 1
Nd1 Nd 0.130 0.686 0.054 1
Nd2 Nd 0.370 0.186 0.446 1
Nd3 Nd 0.870 0.314 0.554 1
Nd4 Nd 0.630 0.814 0.946 1
Nd5 Nd 0.870 0.314 0.946 1
Nd6 Nd 0.630 0.814 0.554 1
Nd7 Nd 0.130 0.686 0.446 1
Nd8 Nd 0.370 0.186 0.054 1
Si1 Si 0.074 0.381 0.250 1
Si2 Si 0.426 0.881 0.250 1
Si3 Si 0.926 0.619 0.750 1
Si4 Si 0.574 0.119 0.750 1
```

Values from the calculation:
formation energy without anion corrections: -0.36 eV per atom
space-group type: Pnma
crystal system: orthorhombic

3.
Compound: TbNdThZn
Source: Alexandria
Functional: PBE-GGA
Structure: relaxed

The structure in CIF format:
```
data_TbNdThZn
_chemical_formula_sum 'Tb1 Nd1 Th1 Zn1'
_cell_length_a 3.606
_cell_length_b 3.606
_cell_length_c 8.680
_cell_angle_alpha 90.00
_cell_angle_beta 90.00
_cell_angle_gamma 90.00
_symmetry_space_group_name_H-M 'P 1'
_symmetry_Int_Tables_number 1
loop_
_symmetry_equiv_pos_as_xyz
'x,y,z'
loop_
_atom_site_label
_atom_site_type_symbol
_atom_site_fract_x
_atom_site_fract_y
_atom_site_fract_z
_atom_site_occupancy
Tb1 Tb 0.000 0.000 0.534 1
Nd1 Nd 0.000 0.000 0.105 1
Th1 Th 0.500 0.500 0.815 1
Zn1 Zn 0.500 0.500 0.330 1
```

Values from the calculation:
E_form: -0.147 eV/atom
space-group type: P4mm
crystal system: tetragonal

4.
Compound: AlBi3Pd
Source: Alexandria
Functional: PBE-GGA
Structure: relaxed

The structure in CIF format:
```
data_AlBi3Pd
_chemical_formula_sum 'Al1 Bi3 Pd1'
_cell_length_a 5.366
_cell_length_b 5.366
_cell_length_c 5.366
_cell_angle_alpha 90.00
_cell_angle_beta 90.00
_cell_angle_gamma 90.00
_symmetry_space_group_name_H-M 'P 1'
_symmetry_Int_Tables_number 1
loop_
_symmetry_equiv_pos_as_xyz
'x,y,z'
loop_
_atom_site_label
_atom_site_type_symbol
_atom_site_fract_x
_atom_site_fract_y
_atom_site_fract_z
_atom_site_occupancy
Bi1 Bi 0.000 0.500 0.000 1
Bi2 Bi 0.000 0.000 0.500 1
Bi3 Bi 0.500 0.000 0.000 1
Pd1 Pd 0.500 0.500 0.500 1
Al1 Al 0.000 0.000 0.000 1
```

Values from the calculation:
E_form: 0.714 eV/atom
space-group type: Pm-3m
crystal system: cubic

5.
Compound: NpPaCu4
Source: Alexandria
Functional: PBE-GGA
Structure: relaxed

The structure in CIF format:
```
data_NpPaCu4
_chemical_formula_sum 'Np1 Pa1 Cu4'
_cell_length_a 5.183
_cell_length_b 5.183
_cell_length_c 5.183
_cell_angle_alpha 60.00
_cell_angle_beta 60.00
_cell_angle_gamma 60.00
_symmetry_space_group_name_H-M 'P 1'
_symmetry_Int_Tables_number 1
loop_
_symmetry_equiv_pos_as_xyz
'x,y,z'
loop_
_atom_site_label
_atom_site_type_symbol
_atom_site_fract_x
_atom_site_fract_y
_atom_site_fract_z
_atom_site_occupancy
Np1 Np 0.250 0.250 0.250 1
Pa1 Pa 0.000 0.000 0.000 1
Cu1 Cu 0.625 0.625 0.124 1
Cu2 Cu 0.625 0.124 0.625 1
Cu3 Cu 0.625 0.625 0.625 1
Cu4 Cu 0.124 0.625 0.625 1
```

Values from the calculation:
E_form: 0.131 eV/atom
space-group type: F-43m
crystal system: cubic

6.
Compound: LaTb3Pr4
Source: Alexandria
Functional: PBE-GGA
Structure: relaxed

The structure in CIF format:
```
data_LaTb3Pr4
_chemical_formula_sum 'La2 Tb6 Pr8'
_cell_length_a 6.398
_cell_length_b 7.413
_cell_length_c 11.836
_cell_angle_alpha 90.00
_cell_angle_beta 90.00
_cell_angle_gamma 90.00
_symmetry_space_group_name_H-M 'P 1'
_symmetry_Int_Tables_number 1
loop_
_symmetry_equiv_pos_as_xyz
'x,y,z'
loop_
_atom_site_label
_atom_site_type_symbol
_atom_site_fract_x
_atom_site_fract_y
_atom_site_fract_z
_atom_site_occupancy
La1 La 0.147 0.376 0.000 1
La2 La 0.647 0.624 0.500 1
Tb1 Tb 0.647 0.623 0.000 1
Tb2 Tb 0.980 0.621 0.250 1
Tb3 Tb 0.480 0.379 0.250 1
Tb4 Tb 0.147 0.377 0.500 1
Tb5 Tb 0.480 0.379 0.750 1
Tb6 Tb 0.980 0.621 0.750 1
Pr1 Pr 0.142 0.871 0.000 1
Pr2 Pr 0.652 0.129 0.000 1
Pr3 Pr 0.983 0.126 0.254 1
Pr4 Pr 0.483 0.874 0.246 1
Pr5 Pr 0.152 0.871 0.500 1
Pr6 Pr 0.642 0.129 0.500 1
Pr7 Pr 0.483 0.874 0.754 1
Pr8 Pr 0.983 0.126 0.746 1
```

Values from the calculation:
E_form: 0.034 eV/atom
space-group type: Pmn2_1
crystal system: orthorhombic

7.
Compound: Mg8Zn2Sn
Source: Alexandria
Functional: PBE-GGA
Structure: relaxed

The structure in CIF format:
```
data_Mg8Zn2Sn
_chemical_formula_sum 'Mg8 Zn2 Sn1'
_cell_length_a 4.557
_cell_length_b 7.166
_cell_length_c 8.261
_cell_angle_alpha 113.84
_cell_angle_beta 106.01
_cell_angle_gamma 90.00
_symmetry_space_group_name_H-M 'P 1'
_symmetry_Int_Tables_number 1
loop_
_symmetry_equiv_pos_as_xyz
'x,y,z'
loop_
_atom_site_label
_atom_site_type_symbol
_atom_site_fract_x
_atom_site_fract_y
_atom_site_fract_z
_atom_site_occupancy
Mg1 Mg 0.601 0.468 0.202 1
Mg2 Mg 0.323 0.070 0.645 1
Mg3 Mg 0.179 0.264 0.357 1
Mg4 Mg 0.032 0.747 0.063 1
Mg5 Mg 0.821 0.736 0.643 1
Mg6 Mg 0.677 0.930 0.355 1
Mg7 Mg 0.399 0.532 0.798 1
Mg8 Mg 0.968 0.253 0.937 1
Zn1 Zn 0.191 0.671 0.381 1
Zn2 Zn 0.809 0.329 0.619 1
Sn1 Sn 0.500 0.000 0.000 1
```

Values from the calculation:
E_form: -0.064 eV/atom
space-group type: C2/m
crystal system: monoclinic

8.
Compound: Ca2SbO5
Source: Alexandria
Functional: PBE-GGA
Structure: relaxed

The structure in CIF format:
```
data_Ca2SbO5
_chemical_formula_sum 'Ca4 Sb2 O10'
_cell_length_a 4.111
_cell_length_b 6.143
_cell_length_c 10.813
_cell_angle_alpha 90.00
_cell_angle_beta 90.00
_cell_angle_gamma 109.55
_symmetry_space_group_name_H-M 'P 1'
_symmetry_Int_Tables_number 1
loop_
_symmetry_equiv_pos_as_xyz
'x,y,z'
loop_
_atom_site_label
_atom_site_type_symbol
_atom_site_fract_x
_atom_site_fract_y
_atom_site_fract_z
_atom_site_occupancy
Ca1 Ca 0.859 0.718 0.430 1
Ca2 Ca 0.859 0.718 0.070 1
Ca3 Ca 0.141 0.282 0.570 1
Ca4 Ca 0.141 0.282 0.930 1
Sb1 Sb 0.829 0.658 0.750 1
Sb2 Sb 0.171 0.342 0.250 1
O1 O 0.953 0.906 0.874 1
O2 O 0.953 0.906 0.626 1
O3 O 0.279 0.558 0.394 1
O4 O 0.279 0.558 0.106 1
O5 O 0.711 0.422 0.250 1
O6 O 0.289 0.578 0.750 1
O7 O 0.721 0.442 0.606 1
O8 O 0.721 0.442 0.894 1
O9 O 0.047 0.094 0.126 1
O10 O 0.047 0.094 0.374 1
```

Values from the calculation:
formation energy without anion corrections: -2.08 eV per atom
space-group type: Cmcm
crystal system: orthorhombic

9.
Compound: HfAl3Ir
Source: Alexandria
Functional: PBE-GGA
Structure: relaxed

The structure in CIF format:
```
data_HfAl3Ir
_chemical_formula_sum 'Hf1 Al3 Ir1'
_cell_length_a 4.678
_cell_length_b 4.678
_cell_length_c 4.678
_cell_angle_alpha 90.00
_cell_angle_beta 90.00
_cell_angle_gamma 90.00
_symmetry_space_group_name_H-M 'P 1'
_symmetry_Int_Tables_number 1
loop_
_symmetry_equiv_pos_as_xyz
'x,y,z'
loop_
_atom_site_label
_atom_site_type_symbol
_atom_site_fract_x
_atom_site_fract_y
_atom_site_fract_z
_atom_site_occupancy
Ir1 Ir 0.000 0.000 0.000 1
Hf1 Hf 0.500 0.500 0.500 1
Al1 Al 0.000 0.500 0.000 1
Al2 Al 0.000 0.000 0.500 1
Al3 Al 0.500 0.000 0.000 1
```

Values from the calculation:
E_form: 0.105 eV/atom
space-group type: Pm-3m
crystal system: cubic

Total magnetization values, unit μB per atom, following the record order: 0.000 0.000 0.000 0.000 0.868 0.000 0.000 0.130 0.000.
Calculated total energy values, unit eV per atom, following the record order: -3.481 -5.293 -4.670 -3.401 -6.340 -4.708 -1.819 -6.197 -5.903.
Density of states at the Fermi level values, unit states/eV per cell, following the record order: 2.57 19.51 4.96 2.41 13.90 28.48 3.57 5.87 4.79.